NdNi4Au8: optimized geometry, PBE-GGA.

```
NdNi4Au8
1.0
4.917 0.000 1.976
2.459 6.451 0.988
0.053 0.000 6.974
Nd Ni Au
1 4 8
Cartesian
0.000 0.000 0.000
0.026 0.000 3.487
2.485 0.000 4.475
1.229 3.226 0.494
3.688 3.226 1.482
0.861 2.169 4.962
1.650 4.283 3.000
3.320 4.283 5.950
4.108 2.169 3.988
4.387 5.030 3.295
3.041 1.421 6.644
1.929 1.421 2.307
5.500 5.030 7.632
```

* DOS(E_F): 9.73 states/eV/f.u.
* energy of formation from the pure elements: -201 meV/atom
* M_tot: 0.0 μB per formula unit
* theoretical density: 14.7 g/cm3
* symmetry: I4/mmm (139)